## K2SrMg (PBE)

Data for crystalline K2SrMg at its relaxed geometry.

Cell lengths 14.2357, 14.2357, 14.2357 Å; angles 16.93, 16.93, 16.93 degrees
Closest atoms and distances in Å follow each position.
Fractional coordinates of all 4 atoms:
1 Sr 0.7500 0.7500 0.7500  6 Sr 4.19, 6 K 4.58
2 K 0.5090 0.5090 0.5090  3 Mg 3.95, 6 K 4.19
3 Mg 0.2500 0.2500 0.2500  6 K 3.95, 6 Mg 4.19
4 K 0.9910 0.9910 0.9910  3 Mg 3.95, 6 K 4.19

Values from the calculation:
Space group   R-3m
Total DFT energy (no corrections)   -4.60 eV/cell
E_form   0.867 eV per formula unit